DFT (PBE) results for crystalline TbSc6In3 at its relaxed geometry.

a = 7.991 Å, b = 7.991 Å, c = 8.169 Å
α = 90.00°, β = 90.00°, γ = 96.98°
Fractional positions:
1 Tb 0.188 0.812 0.500
2 Tb 0.812 0.188 0.000
3 Sc 0.086 0.436 0.304
4 Sc 0.100 0.240 0.656
5 Sc 0.240 0.100 0.156
6 Sc 0.266 0.734 0.081
7 Sc 0.436 0.086 0.804
8 Sc 0.473 0.527 0.690
9 Sc 0.527 0.473 0.190
10 Sc 0.564 0.914 0.304
11 Sc 0.734 0.266 0.581
12 Sc 0.760 0.900 0.656
13 Sc 0.900 0.760 0.156
14 Sc 0.914 0.564 0.804
15 In 0.075 0.925 0.855
16 In 0.217 0.396 0.956
17 In 0.396 0.217 0.456
18 In 0.604 0.783 0.956
19 In 0.783 0.604 0.456
20 In 0.925 0.075 0.355

* energy of formation: -0.16 eV per atom
* calculated volume: 25.9 A^3/atom
* total DFT energy (no corrections): -5.24 eV/atom